[1]
# RbP3Pt6 | the Alexandria database | GGA-PBE | relaxed
# E_form = -275.2 meV per atom
data_RbP3Pt6
_cell_length_a 6.365
_cell_length_b 6.388
_cell_length_c 6.399
_cell_angle_alpha 60.61
_cell_angle_beta 60.21
_cell_angle_gamma 60.52
_space_group_name_H-M_alt 'P 1'
_space_group_IT_number 1
loop_
_space_group_symop_operation_xyz
'x,y,z'
loop_
_atom_site_label
_atom_site_type_symbol
_atom_site_fract_x
_atom_site_fract_y
_atom_site_fract_z
Rb1 Rb 0.000 0.000 0.000
P1 P 0.284 0.277 0.285
P2 P 0.557 0.557 0.565
P3 P 0.797 0.798 0.801
Pt1 Pt 0.190 0.457 0.887
Pt2 Pt 0.456 0.874 0.202
Pt3 Pt 0.511 0.556 0.975
Pt4 Pt 0.560 0.969 0.513
Pt5 Pt 0.877 0.194 0.463
Pt6 Pt 0.975 0.510 0.559

***

[2]
# RbPPt | the Alexandria database | GGA-PBE | relaxed
# E_form = -476.2 meV per atom
data_RbPPt
_cell_length_a 4.0177
_cell_length_b 4.0177
_cell_length_c 5.6240
_cell_angle_alpha 90.00
_cell_angle_beta 90.00
_cell_angle_gamma 120.00
_space_group_name_H-M_alt 'P -6 m 2'
_space_group_IT_number 187
_space_group_name_Hall 'P -6 2'
loop_
_atom_site_label
_atom_site_type_symbol
_atom_site_fract_x
_atom_site_fract_y
_atom_site_fract_z
Rb1 Rb 0.0000 0.0000 0.0000
P1 P 0.3333 0.6667 0.5000
Pt1 Pt 0.6667 0.3333 0.5000

***

[3]
# RbPPt2 | the Alexandria database | GGA-PBE | relaxed
# E_form = -447.6 meV per atom
data_RbPPt2
_cell_length_a 11.695
_cell_length_b 6.962
_cell_length_c 5.399
_cell_angle_alpha 90.00
_cell_angle_beta 90.00
_cell_angle_gamma 90.00
_space_group_name_H-M_alt 'P n m a'
_space_group_IT_number 62
loop_
_space_group_symop_operation_xyz
'x,y,z'
'-x,-y,-z'
'-x+1/2,-y,z+1/2'
'x+1/2,y,-z+1/2'
'x+1/2,-y+1/2,-z+1/2'
'-x+1/2,y+1/2,z+1/2'
'-x,y+1/2,-z'
'x,-y+1/2,z'
loop_
_atom_site_label
_atom_site_type_symbol
_atom_site_fract_x
_atom_site_fract_y
_atom_site_fract_z
Rb1 Rb 0.000 0.250 0.249
P1 P 0.250 0.250 0.634
Pt1 Pt 0.250 0.049 0.977

***

[4]
# RbP2Pt | the Alexandria database | GGA-PBE | relaxed
# E_form = -179.9 meV per atom
# Offset from the most stable computed form = 0 meV/atom
data_RbP2Pt
_cell_length_a 7.321
_cell_length_b 7.321
_cell_length_c 8.023
_cell_angle_alpha 90.00
_cell_angle_beta 90.00
_cell_angle_gamma 90.00
_space_group_name_H-M_alt 'I -4 2 d'
_space_group_IT_number 122
_space_group_name_Hall 'I -4 2bw'
loop_
_atom_site_label
_atom_site_type_symbol
_atom_site_fract_x
_atom_site_fract_y
_atom_site_fract_z
Rb1 Rb 0.000 0.000 0.000
P1 P 0.131 0.250 0.625
Pt1 Pt 0.000 0.000 0.500

***

[5]
# RbPPt2 | the Alexandria database | GGA-PBE | relaxed
# E_form = -439.3 meV per atom
data_RbPPt2
_cell_length_a 5.498
_cell_length_b 5.498
_cell_length_c 14.647
_cell_angle_alpha 90.00
_cell_angle_beta 90.00
_cell_angle_gamma 90.00
_space_group_name_H-M_alt 'I 41/a m d'
_space_group_IT_number 141
loop_
_space_group_symop_operation_xyz
'x,y,z'
'-x,-y,-z'
'-y+1/4,x+3/4,z+1/4'
'y+1/4,-x+3/4,-z+1/4'
'-x+1/2,-y,z+1/2'
'x+1/2,y,-z+1/2'
'y+1/4,-x+1/4,z+3/4'
'-y+1/4,x+1/4,-z+3/4'
'x,-y,-z'
'-x,y,z'
'-y+1/4,-x+1/4,-z+3/4'
'y+1/4,x+1/4,z+3/4'
'-x+1/2,y,-z+1/2'
'x+1/2,-y,z+1/2'
'y+1/4,x+3/4,-z+1/4'
'-y+1/4,-x+3/4,z+1/4'
'x+1/2,y+1/2,z+1/2'
'-x+1/2,-y+1/2,-z+1/2'
'-y+3/4,x+1/4,z+3/4'
'y+3/4,-x+1/4,-z+3/4'
'-x,-y+1/2,z'
'x,y+1/2,-z'
'y+3/4,-x+3/4,z+1/4'
'-y+3/4,x+3/4,-z+1/4'
'x+1/2,-y+1/2,-z+1/2'
'-x+1/2,y+1/2,z+1/2'
'-y+3/4,-x+3/4,-z+1/4'
'y+3/4,x+3/4,z+1/4'
'-x,y+1/2,-z'
'x,-y+1/2,z'
'y+3/4,x+1/4,-z+3/4'
'-y+3/4,-x+1/4,z+3/4'
loop_
_atom_site_label
_atom_site_type_symbol
_atom_site_fract_x
_atom_site_fract_y
_atom_site_fract_z
Rb1 Rb 0.000 0.250 0.375
P1 P 0.000 0.250 0.875
Pt1 Pt 0.000 0.000 0.000

***

[6]
# RbP2Pt | the Alexandria database | GGA-PBE | relaxed
# E_form = 645.7 meV per atom
# Offset from the most stable computed form = 826 meV/atom
data_RbP2Pt
_cell_length_a 6.777
_cell_length_b 6.777
_cell_length_c 6.777
_cell_angle_alpha 90.00
_cell_angle_beta 90.00
_cell_angle_gamma 90.00
_space_group_name_H-M_alt 'F m -3 m'
_space_group_IT_number 225
_space_group_name_Hall '-F 4 2 3'
loop_
_atom_site_label
_atom_site_type_symbol
_atom_site_fract_x
_atom_site_fract_y
_atom_site_fract_z
Rb1 Rb 0.000 0.000 0.000
P1 P 0.250 0.250 0.250
Pt1 Pt 0.000 0.000 0.500